# CsSrCoO2

An optimized crystal structure of CsSrCoO2 (GGA+U, the Alexandria database).

Output
spin magnetization	4.0	Bohr magnetons per cell
total energy	-5.05	eV per atom
symmetry	No. 13
density	4.04	g cm⁻³

Lattice parameters (Å, degrees): 5.364 6.448 7.406 92.06 90.00 90.00
Fractional positions:
1 Sr 0.503 0.000 0.750
2 Sr 0.497 0.000 0.250
3 O 0.264 0.170 0.005
4 O 0.736 0.830 0.995
5 O 0.736 0.170 0.505
6 O 0.264 0.830 0.495
7 Cs 0.031 0.500 0.750
8 Cs 0.969 0.500 0.250
9 Co 0.000 0.000 0.500
10 Co 0.000 0.000 0.000